The following is a PBE calculation of a relaxed TbPrHf crystal, from Alexandria.

```
data_TbPrHf
_space_group_name_H-M_alt 'P 3 m 1'
_space_group_IT_number 156
_cell_length_a 3.4352
_cell_length_b 3.4352
_cell_length_c 8.5946
_cell_angle_alpha 90.00
_cell_angle_beta 90.00
_cell_angle_gamma 120.00
loop_
_space_group_symop_operation_xyz
'x,y,z'
'-y,x-y,z'
'-x+y,-x,z'
'-y,-x,z'
'-x+y,y,z'
'x,x-y,z'
loop_
_atom_site_label
_atom_site_fract_x
_atom_site_fract_y
_atom_site_fract_z
Tb1 0.0000 0.0000 0.0000
Pr1 0.6667 0.3333 0.3814
Hf1 0.3333 0.6667 0.6969
```

Results
Polymorph energy (0 for the lowest one) in eV per atom: 0.0196
Energy of formation in meV per atom: 175